Compound: NiPPt3
Source: the Alexandria database
Functional: PBE
Structure: relaxed

Computed properties:
Symmetry: C2/c
Fermi-level density of states, states/eV/atom: 0.632
Calculated total energy, eV per formula unit: -30.65
Total moment, μB per formula unit: 0.0

Cell lengths 5.707, 5.707, 10.764 Å; angles 90.42, 90.42, 56.60 degrees
Element x y z (fractional)
Ni 0.091 0.103 0.423
Ni 0.103 0.091 0.923
Ni 0.897 0.909 0.077
Ni 0.909 0.897 0.577
P 0.000 0.500 0.500
P 0.192 0.808 0.750
P 0.500 0.000 0.000
P 0.808 0.192 0.250
Pt 0.044 0.712 0.322
Pt 0.168 0.505 0.894
Pt 0.288 0.956 0.178
Pt 0.384 0.391 0.632
Pt 0.391 0.384 0.132
Pt 0.495 0.832 0.606
Pt 0.505 0.168 0.394
Pt 0.609 0.616 0.868
Pt 0.616 0.609 0.368
Pt 0.712 0.044 0.822
Pt 0.832 0.495 0.106
Pt 0.956 0.288 0.678



Compound: Ca3Ac2Si4
Source: the Alexandria database
Functional: PBE
Structure: relaxed

Computed properties:
Symmetry: P2_1/c
Fermi-level density of states, states/eV/atom: 0.086
Raw formation energy, eV per formula unit: -5.31
Total moment, μB per formula unit: 0.0

Cell lengths 8.166, 8.122, 7.733 Å; angles 90.00, 105.67, 90.00 degrees
Element x y z (fractional)
Ca 0.000 0.000 0.000
Ca 0.000 0.500 0.500
Ca 0.256 0.181 0.749
Ca 0.256 0.319 0.249
Ca 0.744 0.681 0.751
Ca 0.744 0.819 0.251
Ac 0.301 0.683 0.914
Ac 0.301 0.817 0.414
Ac 0.699 0.183 0.586
Ac 0.699 0.317 0.086
Si 0.006 0.608 0.115
Si 0.006 0.892 0.615
Si 0.426 0.029 0.118
Si 0.426 0.471 0.618
Si 0.574 0.529 0.382
Si 0.574 0.971 0.882
Si 0.994 0.108 0.385
Si 0.994 0.392 0.885



Compound: Mg2BeOs
Source: the Alexandria database
Functional: PBE
Structure: relaxed

Computed properties:
Symmetry: Cmmm
Fermi-level density of states, states/eV/atom: 0.744
Calculated total energy, eV per formula unit: -16.92
Total moment, μB per formula unit: 0.0

Cell lengths 5.279, 8.306, 2.728 Å; angles 90.00, 90.00, 90.00 degrees
Element x y z (fractional)
Mg 0.250 0.250 0.000
Mg 0.250 0.750 0.000
Mg 0.750 0.250 0.000
Mg 0.750 0.750 0.000
Be 0.000 0.000 0.500
Be 0.500 0.500 0.500
Os 0.000 0.500 0.500
Os 0.500 0.000 0.500



Compound: Nd4Sm5Ho
Source: the Alexandria database
Functional: PBE
Structure: relaxed

Computed properties:
Symmetry: I4mm
Fermi-level density of states, states/eV/atom: 1.425
Calculated total energy, eV per formula unit: -44.96
Total moment, μB per formula unit: 0.0

Cell lengths 8.119, 8.119, 8.119 Å; angles 98.33, 98.33, 135.25 degrees
Element x y z (fractional)
Nd 0.000 0.324 0.324
Nd 0.000 0.676 0.676
Nd 0.324 0.000 0.324
Nd 0.676 0.000 0.676
Sm 0.283 0.283 0.623
Sm 0.283 0.661 0.000
Sm 0.661 0.283 0.000
Sm 0.661 0.661 0.377
Sm 0.745 0.745 0.000
Ho 0.212 0.212 0.000



Compound: NaCeEuTl
Source: the Alexandria database
Functional: PBE
Structure: relaxed

Computed properties:
Symmetry: F-43m
Fermi-level density of states, states/eV/atom: 3.643
Calculated total energy, eV per formula unit: -19.89
Total moment, μB per formula unit: 8.3

Cell lengths 7.980, 7.980, 7.980 Å; angles 90.00, 90.00, 90.00 degrees
Element x y z (fractional)
Na 0.000 0.000 0.000
Na 0.000 0.500 0.500
Na 0.500 0.000 0.500
Na 0.500 0.500 0.000
Ce 0.250 0.250 0.250
Ce 0.250 0.750 0.750
Ce 0.750 0.250 0.750
Ce 0.750 0.750 0.250
Eu 0.250 0.250 0.750
Eu 0.250 0.750 0.250
Eu 0.750 0.250 0.250
Eu 0.750 0.750 0.750
Tl 0.000 0.000 0.500
Tl 0.000 0.500 0.000
Tl 0.500 0.000 0.000
Tl 0.500 0.500 0.500



Compound: K2Ru
Source: the Alexandria database
Functional: PBE
Structure: relaxed

Computed properties:
Symmetry: Cmcm
Fermi-level density of states, states/eV/atom: 1.101
Calculated total energy, eV per formula unit: -9.64
Total moment, μB per formula unit: 0.0

Cell lengths 3.472, 36.190, 3.675 Å; angles 90.00, 90.00, 90.00 degrees
Element x y z (fractional)
K 0.000 0.055 0.250
K 0.000 0.330 0.250
K 0.000 0.670 0.750
K 0.000 0.945 0.750
K 0.500 0.170 0.750
K 0.500 0.445 0.750
K 0.500 0.555 0.250
K 0.500 0.830 0.250
Ru 0.000 0.251 0.750
Ru 0.000 0.749 0.250
Ru 0.500 0.249 0.250
Ru 0.500 0.751 0.750